# PBE-GGA NdMgIr, optimized geometry
data_NdMgIr
_chemical_formula_sum 'Nd4 Mg4 Ir4'
_symmetry_space_group_name_H-M 'P 1'
_symmetry_Int_Tables_number 1
_cell_length_a 7.237
_cell_length_b 4.186
_cell_length_c 8.671
_cell_angle_alpha 90.00
_cell_angle_beta 90.00
_cell_angle_gamma 90.00
loop_
_symmetry_equiv_pos_as_xyz
'x,y,z'
loop_
_atom_site_label
_atom_site_fract_x
_atom_site_fract_y
_atom_site_fract_z
_atom_site_occupancy
Nd1 0.461 0.250 0.177 1
Nd2 0.039 0.750 0.677 1
Nd3 0.539 0.750 0.823 1
Nd4 0.961 0.250 0.323 1
Mg1 0.366 0.250 0.558 1
Mg2 0.866 0.250 0.942 1
Mg3 0.134 0.750 0.058 1
Mg4 0.634 0.750 0.442 1
Ir1 0.746 0.250 0.627 1
Ir2 0.246 0.250 0.873 1
Ir3 0.754 0.750 0.127 1
Ir4 0.254 0.750 0.373 1
# **Electronic total energy**: -5.6566 eV/atom
# **Total moment**: 0.00 μB per formula unit
# **Space group**: Pnma, No. 62